Below is a relaxed structure of YRh2, with properties calculated at the PBE-GGA level.

CIF file:
```
data_YRh2
_chemical_formula_sum 'Y3 Rh6'
_cell_length_a 6.7305
_cell_length_b 6.7305
_cell_length_c 4.3734
_cell_angle_alpha 90.00
_cell_angle_beta 90.00
_cell_angle_gamma 120.00
_space_group_name_H-M_alt 'P -6 2 m'
_space_group_IT_number 189
_space_group_name_Hall 'P -6 -2'
loop_
_atom_site_label
_atom_site_fract_x
_atom_site_fract_y
_atom_site_fract_z
Y1 0.0000 0.0000 0.0000
Y2 0.3333 0.6667 0.5000
Rh1 0.0000 0.2362 0.5000
Rh2 0.0000 0.5479 0.0000
```

Volume = 57.2 Å³/f.u.
Energy relative to the elements = -0.179 eV/atom
E = -7.2346 eV per atom